# 1
DFT (PBE) results for a relaxed Rb3CaRu crystal.

Results
Its theoretical density is 2.29 g cm⁻³. As for the symmetry: No. 221. Its polymorph energy (0 for the lowest one) is 0.000 eV per atom. The formation energy comes out at 1.014 eV/atom. For the magnetization, the calculation gives 1.054 μB per cell.

a b c (Å): 6.6070 6.6070 6.6070
angles (deg): 90.00 90.00 90.00
Fractional coordinates of all 5 atoms:
Rb1 0.0000 0.0000 0.5000
Rb2 0.0000 0.5000 0.0000
Rb3 0.5000 0.0000 0.0000
Ca1 0.5000 0.5000 0.5000
Ru1 0.0000 0.0000 0.0000

# 2
DFT (PBE) results for a relaxed Cs12K5In3 crystal.

Results
Its theoretical density is 1.81 g cm⁻³. As for the symmetry: No. 230. The formation energy comes out at 0.205 eV/atom. For the magnetization, the calculation gives 19.163 μB per cell.

a b c (Å): 21.6635 21.6635 21.6635
angles (deg): 109.47 109.47 109.47
Fractional coordinates of all 80 atoms:
Cs1 0.0581 0.6351 0.3906
Cs2 0.0581 0.9229 0.6675
Cs3 0.0771 0.2446 0.1351
Cs4 0.0771 0.3325 0.9419
Cs5 0.1094 0.7446 0.6675
Cs6 0.1094 0.8649 0.4419
Cs7 0.1351 0.0771 0.2446
Cs8 0.1351 0.5581 0.8906
Cs9 0.1675 0.2446 0.6094
Cs10 0.1675 0.4229 0.5581
Cs11 0.2446 0.1351 0.0771
Cs12 0.2446 0.6094 0.1675
Cs13 0.2554 0.3325 0.8906
Cs14 0.2554 0.4229 0.3649
Cs15 0.3325 0.8906 0.2554
Cs16 0.3325 0.9419 0.0771
Cs17 0.3649 0.2554 0.4229
Cs18 0.3649 0.6094 0.9419
Cs19 0.3906 0.0581 0.6351
Cs20 0.3906 0.8325 0.7554
Cs21 0.4229 0.3649 0.2554
Cs22 0.4229 0.5581 0.1675
Cs23 0.4419 0.1094 0.8649
Cs24 0.4419 0.8325 0.5771
Cs25 0.5581 0.1675 0.4229
Cs26 0.5581 0.8906 0.1351
Cs27 0.5771 0.4419 0.8325
Cs28 0.5771 0.6351 0.7446
Cs29 0.6094 0.1675 0.2446
Cs30 0.6094 0.9419 0.3649
Cs31 0.6351 0.3906 0.0581
Cs32 0.6351 0.7446 0.5771
Cs33 0.6675 0.0581 0.9229
Cs34 0.6675 0.1094 0.7446
Cs35 0.7446 0.5771 0.6351
Cs36 0.7446 0.6675 0.1094
Cs37 0.7554 0.3906 0.8325
Cs38 0.7554 0.8649 0.9229
Cs39 0.8325 0.5771 0.4419
Cs40 0.8325 0.7554 0.3906
Cs41 0.8649 0.4419 0.1094
Cs42 0.8649 0.9229 0.7554
Cs43 0.8906 0.1351 0.5581
Cs44 0.8906 0.2554 0.3325
Cs45 0.9229 0.6675 0.0581
Cs46 0.9229 0.7554 0.8649
Cs47 0.9419 0.0771 0.3325
Cs48 0.9419 0.3649 0.6094
K1 0.0000 0.0000 0.0000
K2 0.0000 0.0000 0.5000
K3 0.0000 0.5000 0.0000
K4 0.0000 0.5000 0.5000
K5 0.1250 0.7500 0.8750
K6 0.1250 0.8750 0.2500
K7 0.2500 0.1250 0.8750
K8 0.2500 0.6250 0.3750
K9 0.3750 0.2500 0.6250
K10 0.3750 0.6250 0.7500
K11 0.5000 0.0000 0.0000
K12 0.5000 0.0000 0.5000
K13 0.5000 0.5000 0.0000
K14 0.5000 0.5000 0.5000
K15 0.6250 0.3750 0.2500
K16 0.6250 0.7500 0.3750
K17 0.7500 0.3750 0.6250
K18 0.7500 0.8750 0.1250
K19 0.8750 0.1250 0.7500
K20 0.8750 0.2500 0.1250
In1 0.1250 0.2500 0.3750
In2 0.1250 0.3750 0.7500
In3 0.2500 0.3750 0.1250
In4 0.2500 0.8750 0.6250
In5 0.3750 0.1250 0.2500
In6 0.3750 0.7500 0.1250
In7 0.6250 0.2500 0.8750
In8 0.6250 0.8750 0.7500
In9 0.7500 0.1250 0.3750
In10 0.7500 0.6250 0.8750
In11 0.8750 0.6250 0.2500
In12 0.8750 0.7500 0.6250

# 3
DFT (PBE) results for a relaxed TlGeSb2 crystal.

Results
Its theoretical density is 7.71 g cm⁻³. As for the symmetry: No. 166. Its polymorph energy (0 for the lowest one) is 0.000 eV per atom. For the magnetization, the calculation gives 0.000 μB per cell.

a b c (Å): 8.1897 8.1897 8.1897
angles (deg): 28.71 28.71 28.71
Fractional coordinates of all 4 atoms:
Tl1 0.0000 0.0000 0.0000
Ge1 0.5000 0.5000 0.5000
Sb1 0.2369 0.2369 0.2369
Sb2 0.7631 0.7631 0.7631

# 4
DFT (PBE) results for a relaxed MgMnCr2 crystal.

Results
Its theoretical density is 5.95 g cm⁻³. As for the symmetry: No. 71. The formation energy comes out at 0.353 eV/atom. For the magnetization, the calculation gives 0.620 μB per cell.

a b c (Å): 4.9333 4.9333 4.9333
angles (deg): 146.15 129.41 62.26
Fractional coordinates of all 4 atoms:
Mg1 0.0000 0.0000 0.0000
Mn1 0.5000 0.5000 0.0000
Cr1 0.2695 0.7694 0.5000
Cr2 0.7306 0.2306 0.5000

# 5
DFT (PBE) results for a relaxed SbTe2Cl crystal.

Results
Its theoretical density is 4.76 g cm⁻³. As for the symmetry: No. 44. Its polymorph energy (0 for the lowest one) is 0.140 eV per atom. For the magnetization, the calculation gives 0.000 μB per cell.

a b c (Å): 7.5277 7.5277 7.5277
angles (deg): 149.13 138.61 52.52
Fractional coordinates of all 4 atoms:
Sb1 0.0000 0.0000 0.0000
Te1 0.1667 0.6667 0.5000
Te2 0.5692 0.5692 0.0000
Cl1 0.8544 0.3544 0.5000

# 6
DFT (PBE) results for a relaxed ReCl2 crystal.

Results
Its theoretical density is 8.06 g cm⁻³. As for the symmetry: No. 225. Its polymorph energy (0 for the lowest one) is 0.954 eV per atom. For the magnetization, the calculation gives 0.633 μB per cell.

a b c (Å): 4.2163 4.2163 4.2163
angles (deg): 60.00 60.00 60.00
Fractional coordinates of all 3 atoms:
Re1 0.0000 0.0000 0.0000
Cl1 0.2500 0.2500 0.2500
Cl2 0.7500 0.7500 0.7500

# 7
DFT (PBE) results for a relaxed RbLa2F6 crystal.

Results
Its theoretical density is 4.78 g cm⁻³. The electronic total energy is -6.08 eV per atom. As for the symmetry: No. 139. For the magnetization, the calculation gives 1.053 μB per cell.

a b c (Å): 10.0684 10.0684 10.0684
angles (deg): 156.22 156.22 33.89
Fractional coordinates of all 9 atoms:
Rb1 0.0000 0.0000 0.0000
La1 0.3308 0.3308 0.0000
La2 0.6692 0.6692 0.0000
F1 0.1020 0.6020 0.5000
F2 0.2500 0.7500 0.5000
F3 0.3980 0.8980 0.5000
F4 0.6020 0.1020 0.5000
F5 0.7500 0.2500 0.5000
F6 0.8980 0.3980 0.5000

# 8
DFT (PBE) results for a relaxed TeAsO3 crystal.

Results
Its theoretical density is 5.95 g cm⁻³. The electronic total energy is -4.63 eV per atom. As for the symmetry: No. 221. For the magnetization, the calculation gives 0.000 μB per cell.

a b c (Å): 4.1207 4.1207 4.1207
angles (deg): 90.00 90.00 90.00
Fractional coordinates of all 5 atoms:
Te1 0.0000 0.0000 0.0000
As1 0.5000 0.5000 0.5000
O1 0.0000 0.0000 0.5000
O2 0.0000 0.5000 0.0000
O3 0.5000 0.0000 0.0000